1.
A geometry-optimized LaZrSb2 structure. Source: Alexandria via LeMat-Bulk, functional PBE.

space-group type = Fm-3m
relative energy among the computed polymorphs = 0.272 eV per atom
E_form (uncorrected) = -0.655 eV per atom
density of states at the Fermi level = 4.122 states/eV/cell

```
LaZrSb2
1.0
3.8097 -3.6633 0.7069
-1.2705 -4.8537 1.8059
0.2834 -4.2142 -3.2547
Sb Zr La
2 1 1
direct
0.7500 0.7500 0.7500
0.2500 0.2500 0.2500
0.0000 0.0000 0.0000
0.5000 0.5000 0.5000
```

***

2.
A geometry-optimized La2ZrSb structure. Source: Alexandria via LeMat-Bulk, functional PBE.

space-group type = Cm
E_form (uncorrected) = -0.408 eV per atom
density of states at the Fermi level = 5.001 states/eV/cell

```
La2ZrSb
1.0
-4.6768 3.3364 1.3634
-4.7111 -0.1702 3.5551
0.9980 2.7561 4.4252
Sb Zr La
1 1 2
direct
0.5138 0.5138 0.4359
0.2306 0.2306 0.3116
0.9953 0.9953 0.9681
0.7603 0.7603 0.7844
```

***

3.
A geometry-optimized LaZr2Sb structure. Source: Alexandria via LeMat-Bulk, functional PBE.

space-group type = R3m
E_form (uncorrected) = -0.117 eV per atom
density of states at the Fermi level = 5.815 states/eV/cell

```
LaZr2Sb
1.0
10.6033 -0.0111 -0.0065
10.0486 3.3846 -0.0065
10.0486 1.6414 2.9599
Sb Zr La
1 2 1
direct
0.7427 0.7427 0.7427
0.0020 0.0020 0.0020
0.2577 0.2577 0.2577
0.4977 0.4977 0.4977
```